No. 1
11
Lattice="5.876 0.000 0.000 -2.938 5.767 -0.192 0.000 -3.506 6.052" Properties=species:S:1:pos:R:3 comment="GGA-PBE Ba2CeAu2O6, relaxed" raw_formation_energy_mev_per_atom=-1799.1 crystal_system=monoclinic pbc="T T T"
Ba 0.000 0.384 4.915
Ba 2.938 1.877 0.946
O 0.000 1.785 2.399
O 4.430 -1.892 4.742
O 2.938 0.475 3.462
O 1.446 -1.892 4.742
O 1.492 4.153 1.119
O -1.492 4.153 1.119
Ce 2.938 -1.753 3.026
Au 2.938 2.352 4.206
Au 0.000 -0.091 1.655

---

No. 2
4
Lattice="-0.770 6.328 -5.519 0.019 3.793 -7.531 -3.141 4.241 -6.577" Properties=species:S:1:pos:R:3 comment="GGA-PBE P2BrCl, relaxed" de_polymorph_ev_per_atom=1.139 raw_formation_energy_mev_per_atom=897.8 crystal_system=trigonal pbc="T T T"
Br -0.973 3.590 -4.907
P -3.887 14.342 -19.600
P -1.951 7.200 -9.840
Cl -2.919 10.771 -14.720

---

No. 3
4
Lattice="-0.078 4.690 -1.554 -4.282 2.455 -0.233 -0.934 3.647 3.200" Properties=species:S:1:pos:R:3 comment="GGA-PBE TbThCuNi, relaxed" de_polymorph_ev_per_atom=0.101 crystal_system=cubic e_form_ev_per_atom=-0.2190 pbc="T T T"
Ni -3.971 8.094 1.060
Tb 0.000 0.000 0.000
Th -2.647 5.396 0.707
Cu -1.324 2.698 0.353

---

No. 4
13
Lattice="-4.960 -0.492 -1.290 3.358 -3.707 -1.222 -1.482 -3.684 7.101" Properties=species:S:1:pos:R:3 comment="GGA-PBE LuMn6GaGe5, relaxed" crystal_system=hexagonal e_form_ev_per_atom=-0.2937 pbc="T T T"
Ga -0.513 -1.276 2.460
Ge -3.669 -5.247 5.832
Ge -0.896 -6.318 5.855
Ge -0.983 -2.443 4.710
Ge -2.924 -3.394 2.260
Ge -0.151 -4.465 2.283
Mn 1.312 -2.765 1.147
Mn -1.168 -3.011 0.502
Mn -1.912 -4.862 4.069
Mn -2.847 -1.158 1.113
Mn 0.568 -4.616 4.714
Mn -3.591 -3.008 4.680
Lu -0.007 -0.018 0.035

---

No. 5
9
Lattice="-3.285 2.869 -0.933 -3.045 -0.755 8.401 6.990 4.634 0.300" Properties=species:S:1:pos:R:3 comment="GGA-PBE Cs2NpCu2Te4, relaxed" raw_formation_energy_mev_per_atom=-671.1 crystal_system=monoclinic pbc="T T T"
Cu -2.780 2.797 7.733
Cu 3.440 3.950 0.036
Te -3.801 1.074 6.029
Te 4.461 5.673 1.740
Te 1.639 2.276 1.232
Te -0.978 4.471 6.537
Np 0.000 0.000 0.000
Cs -0.240 1.252 4.699
Cs 0.901 5.495 3.069

---

No. 6
12
Lattice="3.986 -0.002 0.009 0.003 3.986 0.009 1.978 1.975 14.526" Properties=species:S:1:pos:R:3 comment="GGA-PBE TbHg2P2Pt7, relaxed" crystal_system=monoclinic e_form_ev_per_atom=-0.5391 pbc="T T T"
Hg 1.989 1.986 8.565
Hg 3.978 3.973 5.980
Tb 0.000 0.000 0.000
Pt 3.984 3.979 8.806
Pt 1.992 3.980 2.227
Pt 3.983 1.987 2.227
Pt 1.995 1.992 0.009
Pt 3.975 1.979 12.318
Pt 1.984 3.972 12.318
Pt 1.983 1.981 5.738
P 1.986 1.983 3.521
P 3.982 3.977 11.024

---

No. 7
14
Lattice="-3.963 2.131 -1.007 -7.337 -4.406 8.993 -0.097 8.899 8.656" Properties=species:S:1:pos:R:3 comment="GGA-PBE Ba3Na8Sr3, relaxed" crystal_system=orthorhombic e_form_ev_per_atom=0.0277 pbc="T T T"
Na -7.424 6.225 10.721
Na -8.333 -0.041 11.595
Na -3.973 0.398 5.921
Na -9.030 3.274 10.796
Na -7.150 -0.846 5.237
Na -3.064 6.664 5.047
Na -4.247 7.469 11.405
Na -2.367 3.350 5.846
Sr -1.982 1.065 -0.504
Sr -1.750 5.861 8.733
Sr -5.683 -1.368 8.916
Ba -5.699 3.312 8.321
Ba -6.783 4.050 14.153
Ba -4.614 2.573 2.489

---

No. 8
5
Lattice="-1.273 1.357 6.363 -4.446 -1.044 -0.667 1.243 -6.313 1.595" Properties=species:S:1:pos:R:3 comment="GGA-PBE CsSr2ZrCo, relaxed" crystal_system=tetragonal e_form_ev_per_atom=0.7547 pbc="T T T"
Sr 0.622 -3.157 0.798
Sr -0.636 0.679 3.181
Co -2.223 -0.522 -0.333
Zr 0.000 0.000 0.000
Cs -2.238 -3.000 3.646

---

| no. | uncorrected energy (eV for the cell shown) | magnetization (μB per atom) |
| --- | --- | --- |
| 1 | -65.87 | 0.00 |
| 2 | -10.75 | 0.00 |
| 3 | -22.80 | 0.00 |
| 4 | -89.47 | 0.87 |
| 5 | -41.45 | 0.34 |
| 6 | -64.81 | 0.00 |
| 7 | -20.98 | 0.00 |
| 8 | -16.10 | 0.19 |